Entry 1:
VASP calculation (PBE) on Cs2NaTcI6 after structural relaxation.

Lattice parameters (Å, degrees): 8.3566 8.3566 43.1340 90.00 90.00 120.00
Space group R-3m (No. 166, hexagonal axes)
Unique sites:
1 Cs 0.0000 0.0000 0.1247 (multiplicity 6)
2 Cs 0.0000 0.0000 0.2983 (multiplicity 6)
3 Na 0.0000 0.0000 0.4149 (multiplicity 6)
4 Tc 0.0000 0.0000 0.0000 (multiplicity 3)
5 Tc 0.0000 0.0000 0.5000 (multiplicity 3)
6 I 0.0158 0.5079 0.1302 (multiplicity 18)
7 I 0.0230 0.5115 0.7043 (multiplicity 18)

Output
As for the electronic total energy: -3.13 eV/atom.

---

Entry 2:
VASP calculation (PBE) on Li2CaGa4 after structural relaxation.

Lattice parameters (Å, degrees): 7.0945 7.0945 5.0889 90.00 90.00 90.00
Space group I4/mmm (No. 139)
Unique sites:
1 Li 0.0000 0.5000 0.2500 (multiplicity 4)
2 Ca 0.0000 0.0000 0.0000 (multiplicity 2)
3 Ga 0.1910 0.1910 0.5000 (multiplicity 8)

Output
As for the formation energy: -377 meV per atom. The energy above the lowest structure with this stoichiometry comes out at 0.0 meV/atom.